ReSiRu3 PBE relaxed; formation energy (no corrections) = 1.007 eV/atom; energy = -40.66 eV/cell; distance to the lowest polymorph of the same formula = 0.0 meV/atom
1.0
4.306 0.000 0.000
0.000 4.306 0.000
0.000 0.000 4.306
Re Si Ru
1 1 3
direct
0.000 0.000 0.000
0.500 0.500 0.500
0.000 0.500 0.500
0.500 0.000 0.500
0.500 0.500 0.000


Re2SiRu PBE relaxed; formation energy (no corrections) = 0.103 eV/atom; energy = -39.18 eV/cell
1.0
2.536 -3.996 0.000
2.536 3.996 0.000
0.000 0.000 2.810
Re Si Ru
2 1 1
direct
0.000 0.500 0.000
0.500 0.000 0.000
0.000 0.000 0.500
0.500 0.500 0.500


Re2SiRu PBE relaxed; formation energy (no corrections) = -0.108 eV/atom; energy = -40.03 eV/cell
1.0
2.786 0.000 0.000
0.000 4.003 0.000
-1.385 0.000 5.062
Re Si Ru
2 1 1
direct
0.000 0.000 0.000
0.367 0.500 0.734
0.756 0.000 0.508
0.631 0.500 0.262


ReSiRu2 PBE relaxed; formation energy (no corrections) = -0.066 eV/atom; energy = -36.69 eV/cell
1.0
1.381 0.797 8.407
-1.381 0.797 8.407
0.000 -1.594 8.407
Re Si Ru
1 1 2
direct
0.000 0.000 0.000
0.750 0.750 0.750
0.248 0.248 0.248
0.493 0.493 0.493


ReSiRu2 PBE relaxed; formation energy (no corrections) = 0.063 eV/atom; energy = -36.17 eV/cell
1.0
0.000 3.028 3.028
3.028 0.000 3.028
3.028 3.028 0.000
Re Si Ru
1 1 2
direct
0.000 0.000 0.000
0.250 0.250 0.250
0.500 0.500 0.500
0.750 0.750 0.750


ReSiRu2 PBE relaxed; formation energy (no corrections) = -0.203 eV/atom; energy = -37.24 eV/cell
1.0
2.870 0.000 0.000
0.000 2.870 0.000
0.000 0.000 6.630
Re Si Ru
1 1 2
direct
0.000 0.000 0.000
0.500 0.500 0.754
0.000 0.000 0.552
0.500 0.500 0.260


| no. | magnetic moment (μB/f.u.) |
| --- | --- |
| 1 | 2.086 |
| 2 | 0.000 |
| 3 | 0.000 |
| 4 | 0.000 |
| 5 | 0.000 |
| 6 | 0.000 |